(1)
Entry from Alexandria via LeMat-Bulk: a relaxed structure of La4FePt (PBE).

Lattice parameters (Å, degrees): 6.215 6.215 6.215 60.00 60.00 60.00
Atoms (fractional coordinates):
La  0.375  0.375  0.874
La  0.375  0.874  0.375
La  0.874  0.375  0.375
La  0.375  0.375  0.375
Pt  0.750  0.750  0.750
Fe  0.000  0.000  0.000

Properties
- energy of formation from the pure elements (meV per atom) = 654
- total magnetic moment (μB/f.u.) = 2.1
- VASP energy (eV per atom) = -5.048

=====

(2)
Entry from Alexandria via LeMat-Bulk: a relaxed structure of La6TbSn (PBE).

Lattice parameters (Å, degrees): 5.090 5.090 10.425 90.00 90.00 90.00
Atoms (fractional coordinates):
La  0.000  0.500  0.758
La  0.500  0.500  0.500
La  0.500  0.500  0.000
La  0.500  0.000  0.242
La  0.500  0.000  0.758
La  0.000  0.500  0.242
Sn  0.000  0.000  0.000
Tb  0.000  0.000  0.500

Properties
- energy of formation from the pure elements (meV per atom) = -214
- total magnetic moment (μB/f.u.) = 0.0
- VASP energy (eV per atom) = -4.989

=====

(3)
Entry from Alexandria via LeMat-Bulk: a relaxed structure of K3Pu2AuSe6 (PBE).

Lattice parameters (Å, degrees): 7.453 7.453 7.939 97.68 97.68 123.52
Atoms (fractional coordinates):
Se  0.934  0.568  0.786
Se  0.254  0.254  0.814
Se  0.568  0.934  0.786
Se  0.066  0.432  0.214
Se  0.432  0.066  0.214
Se  0.746  0.746  0.186
Pu  0.334  0.666  0.000
Pu  0.666  0.334  0.000
Au  0.000  0.000  0.000
K  0.156  0.844  0.500
K  0.844  0.156  0.500
K  0.500  0.500  0.500

Properties
- total magnetic moment (μB/f.u.) = 8.0
- ΔE_f (raw) (eV per atom) = -1.10
- VASP energy (eV per atom) = -5.780

=====

(4)
Entry from Alexandria via LeMat-Bulk: a relaxed structure of ThTlH (PBE).

Lattice parameters (Å, degrees): 5.048 3.918 3.918 120.00 90.00 90.00
Atoms (fractional coordinates):
Tl  0.667  0.333  0.667
Th  0.167  0.667  0.333
H  0.167  0.000  0.000

Properties
- excess energy over the best structure of this formula in the dataset (kcal/mol of atoms) = 0.754
- total magnetic moment (μB/f.u.) = 0.0
- VASP energy (eV per atom) = -4.655

=====

(5)
Entry from Alexandria via LeMat-Bulk: a relaxed structure of CdHg (PBE).

Lattice parameters (Å, degrees): 3.329 3.329 8.772 90.00 90.00 90.00
Atoms (fractional coordinates):
Hg  0.250  0.250  0.632
Hg  0.750  0.750  0.368
Cd  0.750  0.750  0.880
Cd  0.250  0.250  0.120

Properties
- energy of formation from the pure elements (meV per atom) = 35
- total magnetic moment (μB/f.u.) = 0.0
- VASP energy (eV per atom) = -0.574

=====

(6)
Entry from Alexandria via LeMat-Bulk: a relaxed structure of Dy3Bi4Au3 (PBE).

Lattice parameters (Å, degrees): 8.806 8.806 8.806 109.47 109.47 109.47
Atoms (fractional coordinates):
Au  0.375  0.250  0.125
Au  0.125  0.750  0.375
Au  0.750  0.125  0.875
Au  0.625  0.875  0.250
Au  0.875  0.625  0.750
Au  0.250  0.375  0.625
Bi  0.815  0.500  0.000
Bi  0.685  0.185  0.185
Bi  0.500  0.815  0.500
Bi  0.185  0.685  0.685
Bi  0.000  0.000  0.315
Bi  0.500  0.315  0.500
Bi  0.000  0.000  0.815
Bi  0.315  0.500  0.000
Dy  0.375  0.125  0.750
Dy  0.875  0.250  0.625
Dy  0.625  0.750  0.875
Dy  0.250  0.875  0.125
Dy  0.750  0.625  0.375
Dy  0.125  0.375  0.250

Properties
- energy of formation from the pure elements (meV per atom) = -651
- total magnetic moment (μB/f.u.) = 0.0
- VASP energy (eV per atom) = -4.567

=====

(7)
Entry from Alexandria via LeMat-Bulk: a relaxed structure of Mg2TiN2 (PBE).

Lattice parameters (Å, degrees): 5.413 5.413 6.171 70.76 70.76 48.32
Atoms (fractional coordinates):
N  0.823  0.823  0.608
N  0.499  0.499  0.230
N  0.177  0.177  0.392
N  0.501  0.501  0.770
Mg  0.667  0.667  0.414
Mg  0.005  0.005  0.265
Mg  0.995  0.995  0.735
Mg  0.333  0.333  0.586
Ti  0.655  0.655  0.890
Ti  0.345  0.345  0.110

Properties
- total magnetic moment (μB/f.u.) = 0.0
- ΔE_f (raw) (eV per atom) = -0.88
- VASP energy (eV per atom) = -6.426

=====

(8)
Entry from Alexandria via LeMat-Bulk: a relaxed structure of PrHoSc2In4 (PBE).

Lattice parameters (Å, degrees): 5.230 5.230 9.088 73.28 73.28 60.00
Atoms (fractional coordinates):
Pr  0.000  0.000  0.000
In  0.623  0.623  0.132
In  0.127  0.127  0.619
In  0.873  0.873  0.381
In  0.377  0.377  0.868
Sc  0.751  0.751  0.748
Sc  0.249  0.249  0.252
Ho  0.500  0.500  0.500

Properties
- energy of formation from the pure elements (meV per atom) = -421
- total magnetic moment (μB/f.u.) = 0.0
- VASP energy (eV per atom) = -4.543

=====

(9)
Entry from Alexandria via LeMat-Bulk: a relaxed structure of Li6BIr2 (PBE).

Lattice parameters (Å, degrees): 2.850 7.156 7.156 121.81 86.65 86.65
Atoms (fractional coordinates):
B  0.000  0.000  0.000
Li  0.206  0.849  0.484
Li  0.206  0.484  0.849
Li  0.794  0.516  0.151
Li  0.708  0.698  0.698
Li  0.292  0.302  0.302
Li  0.794  0.151  0.516
Ir  0.500  0.124  0.876
Ir  0.500  0.876  0.124

Properties
- energy of formation from the pure elements (meV per atom) = -178
- total magnetic moment (μB/f.u.) = 0.0
- VASP energy (eV per atom) = -4.165

=====

(10)
Entry from Alexandria via LeMat-Bulk: a relaxed structure of La2Tb3CeSe6 (PBE).

Lattice parameters (Å, degrees): 4.154 8.450 9.388 103.74 102.78 90.00
Atoms (fractional coordinates):
Se  0.331  0.927  0.663
Se  0.669  0.073  0.337
Se  0.337  0.407  0.673
Se  0.663  0.593  0.327
Se  0.005  0.745  0.009
Se  0.995  0.255  0.991
Tb  0.832  0.165  0.665
Tb  0.168  0.835  0.335
Tb  0.500  0.500  0.000
La  0.835  0.668  0.669
La  0.165  0.332  0.331
Ce  0.500  0.000  0.000

Properties
- total magnetic moment (μB/f.u.) = 1.2
- ΔE_f (raw) (eV per atom) = -1.86
- VASP energy (eV per atom) = -6.078

=====

(11)
Entry from Alexandria via LeMat-Bulk: a relaxed structure of Li2TlMo (PBE).

Lattice parameters (Å, degrees): 3.039 4.859 4.811 90.00 90.00 90.00
Atoms (fractional coordinates):
Li  0.500  0.500  0.000
Li  0.000  0.000  0.000
Mo  0.500  0.000  0.500
Tl  0.000  0.500  0.500

Properties
- energy of formation from the pure elements (meV per atom) = 378
- excess energy over the best structure of this formula in the dataset (kcal/mol of atoms) = 0.517
- total magnetic moment (μB/f.u.) = 0.8
- VASP energy (eV per atom) = -3.878

=====

(12)
Entry from Alexandria via LeMat-Bulk: a relaxed structure of PuMnH8Rh2 (PBE).

Lattice parameters (Å, degrees): 4.639 4.639 6.106 67.68 67.68 60.00
Atoms (fractional coordinates):
H  0.102  0.359  0.837
H  0.703  0.102  0.837
H  0.641  0.297  0.163
H  0.188  0.188  0.437
H  0.297  0.898  0.163
H  0.812  0.812  0.563
H  0.898  0.641  0.163
H  0.359  0.703  0.837
Rh  0.710  0.710  0.869
Rh  0.290  0.290  0.131
Mn  0.000  0.000  0.000
Pu  0.500  0.500  0.500

Properties
- total magnetic moment (μB/f.u.) = 9.1
- VASP energy (eV per atom) = -5.511

=====

The highest VASP energy belongs to which entry? CdHg